A relaxed MgWAu2 crystal, computed with GGA-PBE.

Unit cell a=2.8338 b=2.8338 c=8.6325 alpha=90.00 beta=90.00 gamma=90.00
Atoms (fractional coordinates):
Mg1 0.0000 0.0000 0.0000
W1 0.5000 0.5000 0.2521
Au1 0.0000 0.0000 0.4914
Au2 0.5000 0.5000 0.7596

Summary:
Formation enthalpy at 0 K: 0.104 eV per atom
Symmetry: P4mm, No. 99